Compound: Ti3BeIn
Source: Alexandria via LeMat-Bulk
Functional: PBE
Structure: relaxed

For the formation enthalpy at 0 K, the calculation gives 0.51 eV per formula unit. Its space group is Pm-3m, No. 221. The energy above the most stable polymorph in this dataset is 0.0 meV/atom.

Unit cell a=4.4374 b=4.4374 c=4.4374 alpha=90.00 beta=90.00 gamma=90.00
With the nearest neighbours (Å) after each atom.
Fractional coordinates of all 5 atoms:
In 0.5000 0.5000 0.5000  12 Ti 3.14
Ti 0.0000 0.5000 0.0000  2 Be 2.22
Ti 0.5000 0.0000 0.0000  2 Be 2.22
Ti 0.0000 0.0000 0.5000  2 Be 2.22
Be 0.0000 0.0000 0.0000  6 Ti 2.22

=====

Compound: YZnPd6
Source: Alexandria via LeMat-Bulk
Functional: PBE
Structure: relaxed

For the formation enthalpy at 0 K, the calculation gives -0.84 eV per formula unit. Its space group is R-3m, No. 166. The energy above the most stable polymorph in this dataset is 456.9 meV/atom.

Unit cell a=5.3583 b=5.3583 c=5.3583 alpha=89.08 beta=89.08 gamma=89.08
With the nearest neighbours (Å) after each atom.
Fractional coordinates of all 8 atoms:
Pd 0.1725 0.1725 0.5408  1 Zn 2.51, 3 Pd 2.68-2.77, 1 Y 2.76
Pd 0.4592 0.8275 0.8275  1 Zn 2.51, 3 Pd 2.68-2.77, 1 Y 2.76
Pd 0.5408 0.1725 0.1725  1 Zn 2.51, 3 Pd 2.68-2.77, 1 Y 2.76
Pd 0.8275 0.4592 0.8275  1 Zn 2.51, 3 Pd 2.68-2.77, 1 Y 2.76
Pd 0.8275 0.8275 0.4592  1 Zn 2.51, 3 Pd 2.68-2.77, 1 Y 2.76
Pd 0.1725 0.5408 0.1725  1 Zn 2.51, 3 Pd 2.68-2.77, 1 Y 2.76
Zn 0.5000 0.5000 0.5000  6 Pd 2.51
Y 0.0000 0.0000 0.0000  6 Pd 2.76

=====

Compound: SrBePt3
Source: Alexandria via LeMat-Bulk
Functional: PBE
Structure: relaxed

For the formation enthalpy at 0 K, the calculation gives 0.47 eV per formula unit. Its space group is P6_3/mmc, No. 194. The energy above the most stable polymorph in this dataset is 838.0 meV/atom.

Unit cell a=3.8029 b=3.8029 c=16.6715 alpha=90.00 beta=90.00 gamma=120.00
With the nearest neighbours (Å) after each atom.
Fractional coordinates of all 10 atoms:
Pt 0.3333 0.6667 0.6248  1 Be 2.09
Pt 0.0000 0.0000 0.7500  3 Be 2.20
Pt 0.0000 0.0000 0.2500  3 Be 2.20
Pt 0.3333 0.6667 0.8752  1 Be 2.09
Pt 0.6667 0.3333 0.3752  1 Be 2.09
Pt 0.6667 0.3333 0.1248  1 Be 2.09
Sr 0.0000 0.0000 0.5000  6 Pt 3.02
Sr 0.0000 0.0000 0.0000  6 Pt 3.02
Be 0.6667 0.3333 0.2500  5 Pt 2.09-2.20
Be 0.3333 0.6667 0.7500  5 Pt 2.09-2.20

=====

Compound: HfMg3Au
Source: Alexandria via LeMat-Bulk
Functional: PBE
Structure: relaxed

For the formation enthalpy at 0 K, the calculation gives 1.71 eV per formula unit. Its space group is Pm-3m, No. 221. The energy above the most stable polymorph in this dataset is 0.0 meV/atom.

Unit cell a=4.9670 b=4.9670 c=4.9670 alpha=90.00 beta=90.00 gamma=90.00
With the nearest neighbours (Å) after each atom.
Fractional coordinates of all 5 atoms:
Au 0.0000 0.0000 0.0000  6 Mg 2.48
Mg 0.0000 0.5000 0.0000  2 Au 2.48
Mg 0.0000 0.0000 0.5000  2 Au 2.48
Mg 0.5000 0.0000 0.0000  2 Au 2.48
Hf 0.5000 0.5000 0.5000  12 Mg 3.51

=====

Compound: LaMgHg2Sb
Source: Alexandria via LeMat-Bulk
Functional: PBE
Structure: relaxed

The calculation puts the formation energy without anion corrections at 167.8 meV/atom. Its space group is P4/mmm, No. 123.

Unit cell a=5.6094 b=6.1007 c=5.6094 alpha=90.00 beta=90.00 gamma=90.00
With the nearest neighbours (Å) after each atom.
Fractional coordinates of all 5 atoms:
La 0.0000 0.5000 0.0000  2 Sb 3.05
Hg 0.0000 0.0000 0.5000  2 Sb 2.80
Hg 0.5000 0.0000 0.0000  2 Sb 2.80
Sb 0.0000 0.0000 0.0000  4 Hg 2.80, 2 La 3.05
Mg 0.5000 0.5000 0.5000  4 La 3.97, 8 Hg 4.14